Record 1
A plane-wave DFT calculation with GGA-PBE was carried out for a geometry-optimized RbNpAl2O8 structure.

* calculated total energy: -88.0 eV for the cell shown
* DOS at the Fermi energy: 5.5 states/eV/cell
* formation energy without anion corrections: -2.25 eV per atom
* spin magnetization: 0.033 μB/atom

POSCAR file:
```
RbNpAl2O8
1.0
4.8125 0.0000 0.0000
-0.2823 4.8064 0.0000
-0.2473 -0.3278 7.4340
Rb Np Al O
1 1 2 8
Cartesian
0.0000 0.0000 0.0000 Rb
-0.1237 -0.1639 3.7170 Np
2.1737 2.2792 2.3734 Al
2.1092 2.1995 5.0605 Al
0.8466 0.8541 2.3828 O
0.8230 0.8339 5.1629 O
1.1981 3.1216 3.7193 O
1.9254 2.0255 0.5283 O
2.3575 2.4532 6.9056 O
3.0849 1.3570 3.7147 O
3.4600 3.6447 2.2711 O
3.4363 3.6245 5.0512 O
```



Record 2
A plane-wave DFT calculation with GGA-PBE was carried out for a geometry-optimized Li4InHg structure.

* calculated total energy: -12.4 eV for the cell shown
* DOS at the Fermi energy: 2.3 states/eV/cell
* spin magnetization: 0.000 μB/atom
* formation energy from the elements: -0.277 eV per atom

POSCAR file:
```
Li4InHg
1.0
2.4393 -4.6354 0.0000
2.4393 4.6354 0.0000
-0.5956 0.0000 4.8314
Li In Hg
4 1 1
Cartesian
2.4393 3.1048 0.0000 Li
2.1415 1.5300 2.4157 Li
2.1415 -1.5300 2.4157 Li
2.4393 -3.1048 0.0000 Li
-0.2978 0.0000 2.4157 In
2.4393 0.0000 0.0000 Hg
```



Record 3
A plane-wave DFT calculation with GGA-PBE was carried out for a geometry-optimized BaCuP structure.

* calculated total energy: -27.0 eV for the cell shown
* DOS at the Fermi energy: 0.0 states/eV/cell
* spin magnetization: 0.000 μB/atom
* formation energy from the elements: -0.683 eV per atom

POSCAR file:
```
BaCuP
1.0
-2.2025 2.2025 7.3036
2.2025 -2.2025 7.3036
2.2025 2.2025 -7.3036
Ba Cu P
2 2 2
Cartesian
0.0000 0.0000 0.0000 Ba
0.0000 2.2025 3.6518 Ba
2.2025 0.0000 4.8863 Cu
0.0000 0.0000 8.5381 Cu
2.2025 0.0000 2.4571 P
0.0000 0.0000 6.1089 P
```